Compound: LiCoC2O6
Source: Alexandria
Functional: GGA+U
Structure: relaxed

Structure (POSCAR):
```
LiCoC2O6
1.0
2.334 1.348 5.101
-2.334 1.348 5.101
0.000 -2.695 5.101
Li Co C O
1 1 2 6
direct
0.000 0.000 0.000
0.500 0.500 0.500
0.245 0.245 0.245
0.755 0.755 0.755
0.035 0.748 0.482
0.252 0.518 0.965
0.482 0.035 0.748
0.518 0.965 0.252
0.748 0.482 0.035
0.965 0.252 0.518
```

Calculated values
theoretical density	3.21	g cm⁻³
energy	-68.880	eV/cell